Density functional theory data (SCAN) for LiHgPb2 at its PBEsol-relaxed geometry.

```
LiHgPb2
1.0
3.498 0.000 0.000
0.000 5.403 0.054
0.000 -1.393 5.221
Hg Pb Li
1 2 1
direct
0.500 0.000 0.000 Hg
0.000 0.000 0.500 Pb
0.000 0.500 0.000 Pb
0.500 0.500 0.500 Li
```

Values from the calculation:
energy of formation: -0.145 eV per atom
VASP energy: -55.6746 eV/atom